Entry 1:
Material: La2TbSe3
Method: DFT, PBE
State: relaxed

Results
crystal system: trigonal
space group: P-3m1

Lattice parameters (Å, degrees): 4.2184 4.2184 10.4478 90.00 90.00 120.00
Positions (direct):
La: 0.3333 0.6667 0.1712
La: 0.6667 0.3333 0.8288
Tb: 0.0000 0.0000 0.5000
Se: 0.0000 0.0000 0.0000
Se: 0.3333 0.6667 0.6527
Se: 0.6667 0.3333 0.3473



Entry 2:
Material: UBeTl
Method: DFT, PBE
State: relaxed

Results
crystal system: cubic
distance to the lowest polymorph of the same formula: 0.0 meV/atom
space group: F-43m

Lattice parameters (Å, degrees): 4.5648 4.5648 4.5648 60.00 60.00 60.00
Positions (direct):
U: 0.0000 0.0000 0.0000
Be: 0.7500 0.7500 0.7500
Tl: 0.5000 0.5000 0.5000



Entry 3:
Material: Zr3Cu4Bi2Sb2
Method: DFT, PBE
State: relaxed

Results
crystal system: tetragonal
space group: I-42m

Lattice parameters (Å, degrees): 7.6421 7.6421 7.6421 132.02 132.02 70.20
Positions (direct):
Zr: 0.0000 0.0000 0.0000
Zr: 0.2500 0.7500 0.5000
Zr: 0.7500 0.2500 0.5000
Cu: 0.1427 0.1427 0.5273
Cu: 0.3846 0.8573 0.0000
Cu: 0.6154 0.6154 0.4727
Cu: 0.8573 0.3846 0.0000
Bi: 0.0000 0.5000 0.5000
Bi: 0.5000 0.0000 0.5000
Sb: 0.2511 0.2511 0.0000
Sb: 0.7489 0.7489 0.0000



Entry 4:
Material: BaNbNO
Method: DFT, PBE
State: relaxed

Results
crystal system: tetragonal
distance to the lowest polymorph of the same formula: 295.6 meV/atom
space group: P4/nmm

Lattice parameters (Å, degrees): 4.1408 4.1408 10.0430 90.00 90.00 90.00
Positions (direct):
Ba: 0.2500 0.2500 0.1352
Ba: 0.7500 0.7500 0.8648
Nb: 0.2500 0.7500 0.5000
Nb: 0.7500 0.2500 0.5000
N: 0.2500 0.2500 0.5474
N: 0.7500 0.7500 0.4526
O: 0.2500 0.7500 0.0000
O: 0.7500 0.2500 0.0000



Entry 5:
Material: RePPtO
Method: DFT, PBE
State: relaxed

Results
crystal system: tetragonal
distance to the lowest polymorph of the same formula: 484.8 meV/atom
space group: P4/nmm

Lattice parameters (Å, degrees): 3.8273 3.8273 6.8258 90.00 90.00 90.00
Positions (direct):
Re: 0.2500 0.2500 0.1691
Re: 0.7500 0.7500 0.8309
P: 0.2500 0.2500 0.7332
P: 0.7500 0.7500 0.2668
Pt: 0.2500 0.7500 0.5000
Pt: 0.7500 0.2500 0.5000
O: 0.2500 0.7500 0.0000
O: 0.7500 0.2500 0.0000



Entry 6:
Material: HoErTa
Method: DFT, PBE
State: relaxed

Results
crystal system: cubic
formation energy from the elements: 1.287 eV per atom
distance to the lowest polymorph of the same formula: 0.0 meV/atom
space group: F-43m

Lattice parameters (Å, degrees): 4.9741 4.9741 4.9741 60.00 60.00 60.00
Positions (direct):
Ho: 0.0000 0.0000 0.0000
Er: 0.2500 0.2500 0.2500
Ta: 0.5000 0.5000 0.5000



Entry 7:
Material: Sm2Cu17
Method: DFT, PBE
State: relaxed

Results
crystal system: trigonal
formation energy from the elements: -0.107 eV per atom
space group: R-3m

Lattice parameters (Å, degrees): 6.4664 6.4664 6.4664 82.79 82.79 82.79
Positions (direct):
Sm: 0.1582 0.1582 0.1582
Sm: 0.8418 0.8418 0.8418
Cu: 0.0000 0.5000 0.5000
Cu: 0.1550 0.1550 0.6533
Cu: 0.1550 0.6533 0.1550
Cu: 0.2066 0.5000 0.7934
Cu: 0.2066 0.7934 0.5000
Cu: 0.3467 0.8450 0.8450
Cu: 0.4023 0.4023 0.4023
Cu: 0.5000 0.0000 0.5000
Cu: 0.5000 0.2066 0.7934
Cu: 0.5000 0.5000 0.0000
Cu: 0.5000 0.7934 0.2066
Cu: 0.5977 0.5977 0.5977
Cu: 0.6533 0.1550 0.1550
Cu: 0.7934 0.2066 0.5000
Cu: 0.7934 0.5000 0.2066
Cu: 0.8450 0.3467 0.8450
Cu: 0.8450 0.8450 0.3467



Entry 8:
Material: LuZnFeAu
Method: DFT, PBE
State: relaxed

Results
crystal system: cubic
formation energy from the elements: -0.157 eV per atom
distance to the lowest polymorph of the same formula: 11.7 meV/atom
space group: F-43m

Lattice parameters (Å, degrees): 4.6228 4.6228 4.6228 60.00 60.00 60.00
Positions (direct):
Lu: 0.0000 0.0000 0.0000
Zn: 0.5000 0.5000 0.5000
Fe: 0.7500 0.7500 0.7500
Au: 0.2500 0.2500 0.2500



Entry 9:
Material: Mg2PdAu
Method: DFT, PBE
State: relaxed

Results
crystal system: tetragonal
space group: P4/mmm

Lattice parameters (Å, degrees): 4.5027 4.5027 3.3352 90.00 90.00 90.00
Positions (direct):
Mg: 0.0000 0.5000 0.0000
Mg: 0.5000 0.0000 0.0000
Pd: 0.0000 0.0000 0.5000
Au: 0.5000 0.5000 0.5000



Entry 10:
Material: NaYIr
Method: DFT, PBE
State: relaxed

Results
crystal system: cubic
distance to the lowest polymorph of the same formula: 363.4 meV/atom
space group: F-43m

Lattice parameters (Å, degrees): 4.6960 4.6960 4.6960 60.00 60.00 60.00
Positions (direct):
Na: 0.0000 0.0000 0.0000
Y: 0.7500 0.7500 0.7500
Ir: 0.5000 0.5000 0.5000



Entry 11:
Material: CsZrAu3S4
Method: DFT, PBE
State: relaxed

Results
crystal system: monoclinic
distance to the lowest polymorph of the same formula: 0.0 meV/atom
space group: P2_1/m

Lattice parameters (Å, degrees): 6.1462 7.7861 10.5189 90.00 105.88 90.00
Positions (direct):
Cs: 0.2198 0.2500 0.3777
Cs: 0.7802 0.7500 0.6223
Zr: 0.1345 0.2500 0.8054
Zr: 0.8655 0.7500 0.1946
Au: 0.2894 0.5606 0.0119
Au: 0.2894 0.9394 0.0119
Au: 0.4068 0.7500 0.2618
Au: 0.5932 0.2500 0.7382
Au: 0.7106 0.0606 0.9881
Au: 0.7106 0.4394 0.9881
S: 0.0648 0.2500 0.0293
S: 0.1639 0.7500 0.4019
S: 0.3536 0.5051 0.7774
S: 0.3536 0.9949 0.7774
S: 0.6464 0.0051 0.2226
S: 0.6464 0.4949 0.2226
S: 0.8361 0.2500 0.5981
S: 0.9352 0.7500 0.9707



Number 1: calculated total energy -36.5 eV/f.u., volume 26.83 A^3/atom. Number 2: calculated total energy -15.4 eV/f.u., volume 22.42 A^3/atom. Number 3: calculated total energy -58.2 eV/f.u., volume 21.95 A^3/atom. Number 4: calculated total energy -30.0 eV/f.u., volume 21.53 A^3/atom. Number 5: calculated total energy -28.5 eV/f.u., volume 12.50 A^3/atom. Number 6: calculated total energy -17.1 eV/f.u., volume 29.01 A^3/atom. Number 7: calculated total energy -74.7 eV/f.u., volume 13.92 A^3/atom. Number 8: calculated total energy -18.0 eV/f.u., volume 17.46 A^3/atom. Number 9: calculated total energy -14.2 eV/f.u., volume 16.90 A^3/atom. Number 10: calculated total energy -15.6 eV/f.u., volume 24.41 A^3/atom. Number 11: calculated total energy -41.7 eV/f.u., volume 26.90 A^3/atom.